[1]
DFT (PBE) results for crystalline La2DyErAs4 at its relaxed geometry.

Cell lengths 4.2429, 7.3332, 7.3445 Å; angles 70.51, 90.00, 90.00 degrees
Positions (direct):
As 0.5000 0.7358 0.2537
La 0.0000 0.0000 0.0000
As 0.0000 0.7350 0.7560
La 0.5000 0.0000 0.5000
As 0.0000 0.2650 0.2440
As 0.5000 0.2642 0.7463
Dy 0.0000 0.5000 0.5000
Er 0.5000 0.5000 0.0000

Values from the calculation:
For the spin magnetization, the calculation gives 0.00 μB/f.u. For the volume, the calculation gives 26.93 Å³/atom.

---

[2]
DFT (PBE) results for crystalline La2Dy3ErAs6 at its relaxed geometry.

Cell lengths 4.2041, 8.4044, 9.3916 Å; angles 102.94, 102.93, 90.00 degrees
Positions (direct):
Dy 0.5000 0.5000 0.0000
As 0.6654 0.0731 0.3309
La 0.1650 0.3306 0.3300
As 0.3363 0.4091 0.6727
La 0.8350 0.6694 0.6700
As 0.6637 0.5909 0.3273
Dy 0.8329 0.1656 0.6659
Er 0.5000 0.0000 0.0000
As 0.9963 0.2460 0.9926
As 0.3346 0.9269 0.6691
Dy 0.1671 0.8344 0.3341
As 0.0037 0.7540 0.0074

Values from the calculation:
For the spin magnetization, the calculation gives 0.00 μB/f.u. For the volume, the calculation gives 26.23 Å³/atom.

---

[3]
DFT (PBE) results for crystalline LaDy2ErAs4 at its relaxed geometry.

Cell lengths 4.1793, 7.2344, 7.2306 Å; angles 70.57, 90.00, 90.00 degrees
Positions (direct):
As 0.5000 0.2416 0.7598
Er 0.5000 0.5000 0.0000
As 0.0000 0.2471 0.2440
As 0.5000 0.7584 0.2402
La 0.0000 0.5000 0.5000
Dy 0.5000 0.0000 0.5000
As 0.0000 0.7529 0.7560
Dy 0.0000 0.0000 0.0000

Values from the calculation:
For the spin magnetization, the calculation gives 0.00 μB/f.u. For the volume, the calculation gives 25.77 Å³/atom.

---

Number 1: calculated formation energy -1539 meV/atom. Number 2: calculated formation energy -1527 meV/atom. Number 3: calculated formation energy -1523 meV/atom.